{
  "formula": "PrGdTl4",
  "functional": "PBE",
  "state": "optimized geometry",
  "lattice": [[6.2559, 0.0000, 0.0000], [3.1279, 5.4177, 0.0000], [3.1279, 1.8059, 5.1079]],
  "species": ["Pr", "Tl", "Tl", "Tl", "Tl", "Gd"],
  "frac_coords": [[0.2500, 0.2500, 0.2500], [0.6251, 0.6251, 0.1248], [0.6251, 0.1248, 0.6251], [0.6251, 0.6251, 0.6251], [0.1248, 0.6251, 0.6251], [0.0000, 0.0000, 0.0000]],
  "total_energy_ev_per_atom": -4.8552,
  "delta_e_f_ev_per_atom": -0.134,
  "crystal_system": "cubic"
}


{
  "formula": "PrGdTl",
  "functional": "PBE",
  "state": "optimized geometry",
  "lattice": [[-0.9397, -2.9714, 2.2321], [3.0584, 0.6897, 2.2056], [-4.5990, 5.0329, 1.4722]],
  "species": ["Pr", "Tl", "Gd"],
  "frac_coords": [[0.9408, 0.9408, 0.8816], [0.2787, 0.2787, 0.5574], [0.6305, 0.6305, 0.2610]],
  "polymorph_energy_ev_per_atom": 0.0000,
  "total_energy_ev_per_atom": -7.3170,
  "delta_e_f_ev_per_atom": -0.241,
  "crystal_system": "tetragonal"
}


{
  "formula": "Pr2GdTl",
  "functional": "PBE",
  "state": "optimized geometry",
  "lattice": [[-3.7942, 3.5264, 2.1841], [-1.7711, -0.7007, 5.2890], [1.5296, 3.6587, 3.9844]],
  "species": ["Pr", "Pr", "Tl", "Gd"],
  "frac_coords": [[0.2500, 0.2500, 0.2500], [0.7500, 0.7500, 0.7500], [0.5000, 0.5000, 0.5000], [0.0000, 0.0000, 0.0000]],
  "polymorph_energy_ev_per_atom": 0.0369,
  "total_energy_ev_per_atom": -6.6051,
  "delta_e_f_ev_per_atom": -0.104,
  "crystal_system": "cubic"
}


{
  "formula": "Pr2GdTl",
  "functional": "PBE",
  "state": "optimized geometry",
  "lattice": [[-0.8105, -2.9828, 2.9513], [4.1440, -0.0963, 1.0407], [-1.0771, 4.9934, 4.7509]],
  "species": ["Pr", "Pr", "Tl", "Gd"],
  "frac_coords": [[0.0000, 0.0000, 0.7637], [0.0000, 0.0000, 0.2363], [0.5000, 0.5000, 0.0000], [0.5000, 0.5000, 0.5000]],
  "polymorph_energy_ev_per_atom": 0.0000,
  "total_energy_ev_per_atom": -6.6420,
  "delta_e_f_ev_per_atom": -0.140,
  "crystal_system": "tetragonal"
}


{
  "formula": "PrGdTl",
  "functional": "PBE",
  "state": "optimized geometry",
  "lattice": [[-5.1367, 1.1399, 0.7325], [-3.7354, -2.8928, -2.4291], [-3.0727, -3.2843, 2.8273]],
  "species": ["Pr", "Tl", "Gd"],
  "frac_coords": [[0.5000, 0.5000, 0.5000], [0.2500, 0.2500, 0.2500], [0.0000, 0.0000, 0.0000]],
  "polymorph_energy_ev_per_atom": 0.1563,
  "total_energy_ev_per_atom": -7.1606,
  "delta_e_f_ev_per_atom": -0.085,
  "crystal_system": "cubic"
}


{
  "formula": "Pr2GdTl",
  "functional": "PBE",
  "state": "optimized geometry",
  "lattice": [[3.8773, 0.0000, 0.0000], [0.0000, 5.7113, 0.0000], [0.0000, 0.0000, 5.7113]],
  "species": ["Pr", "Pr", "Tl", "Gd"],
  "frac_coords": [[0.0000, 0.0000, 0.5000], [0.0000, 0.5000, 0.0000], [0.5000, 0.5000, 0.5000], [0.5000, 0.0000, 0.0000]],
  "polymorph_energy_ev_per_atom": 0.0080,
  "total_energy_ev_per_atom": -6.6340,
  "delta_e_f_ev_per_atom": -0.132,
  "crystal_system": "tetragonal"
}


{
  "formula": "PrGd2Tl",
  "functional": "PBE",
  "state": "optimized geometry",
  "lattice": [[-0.4369, 5.4449, -0.9594], [-4.9946, 2.4094, -0.0812], [-1.4927, 3.4266, 4.0973]],
  "species": ["Pr", "Tl", "Gd", "Gd"],
  "frac_coords": [[0.0000, 0.0000, 0.0000], [0.5000, 0.5000, 0.5000], [0.2500, 0.2500, 0.2500], [0.7500, 0.7500, 0.7500]],
  "polymorph_energy_ev_per_atom": 0.1507,
  "total_energy_ev_per_atom": -8.8967,
  "delta_e_f_ev_per_atom": -0.070,
  "crystal_system": "cubic"
}


{
  "formula": "PrGd2Tl",
  "functional": "PBE",
  "state": "optimized geometry",
  "lattice": [[-0.5026, -4.8104, 1.0177], [2.4700, 0.6368, 4.2298], [-4.2478, 0.9387, 2.3392]],
  "species": ["Pr", "Tl", "Gd", "Gd"],
  "frac_coords": [[0.5000, 0.5000, 0.5000], [0.5000, 0.0000, 0.0000], [0.0000, 0.0000, 0.5000], [0.0000, 0.5000, 0.0000]],
  "polymorph_energy_ev_per_atom": 0.0000,
  "total_energy_ev_per_atom": -9.0474,
  "delta_e_f_ev_per_atom": -0.221,
  "crystal_system": "tetragonal"
}


{
  "formula": "PrGd2Tl",
  "functional": "PBE",
  "state": "optimized geometry",
  "lattice": [[-1.1360, 3.4739, -0.3141], [-0.8353, 0.0498, 3.5716], [8.5878, 2.9861, 1.9668]],
  "species": ["Pr", "Tl", "Gd", "Gd"],
  "frac_coords": [[0.5000, 0.5000, 0.5000], [0.5000, 0.5000, 0.0000], [0.0000, 0.0000, 0.7754], [0.0000, 0.0000, 0.2246]],
  "polymorph_energy_ev_per_atom": 0.0304,
  "total_energy_ev_per_atom": -9.0170,
  "delta_e_f_ev_per_atom": -0.190,
  "crystal_system": "tetragonal"
}


{
  "formula": "PrGdTmTl",
  "functional": "PBE",
  "state": "optimized geometry",
  "lattice": [[-0.5722, 4.5091, -3.1616], [-4.8348, 2.6949, -0.1295], [-0.4509, 4.9916, 2.3527]],
  "species": ["Gd", "Pr", "Tl", "Tm"],
  "frac_coords": [[0.2500, 0.2500, 0.2500], [0.7500, 0.7500, 0.7500], [0.0000, 0.0000, 0.0000], [0.5000, 0.5000, 0.5000]],
  "total_energy_ev_per_atom": -6.5063,
  "delta_e_f_ev_per_atom": -0.082,
  "crystal_system": "cubic"
}


{
  "formula": "PrGdYTl",
  "functional": "PBE",
  "state": "optimized geometry",
  "lattice": [[-3.4556, 2.0550, -3.8255], [0.9251, -0.9744, -5.3845], [-3.3566, -3.4021, -2.8209]],
  "species": ["Pr", "Y", "Tl", "Gd"],
  "frac_coords": [[0.2500, 0.2500, 0.2500], [0.7500, 0.7500, 0.7500], [0.5000, 0.5000, 0.5000], [0.0000, 0.0000, 0.0000]],
  "total_energy_ev_per_atom": -7.0103,
  "delta_e_f_ev_per_atom": -0.088,
  "crystal_system": "cubic"
}


{
  "formula": "PrGdTlZn",
  "functional": "PBE",
  "state": "optimized geometry",
  "lattice": [[-5.1856, -1.0719, 0.8145], [-1.4277, -4.0082, 3.2557], [-2.2440, 1.0730, 4.7451]],
  "species": ["Pr", "Tl", "Gd", "Zn"],
  "frac_coords": [[0.0000, 0.0000, 0.0000], [0.2500, 0.2500, 0.2500], [0.5000, 0.5000, 0.5000], [0.7500, 0.7500, 0.7500]],
  "total_energy_ev_per_atom": -5.9685,
  "delta_e_f_ev_per_atom": -0.343,
  "crystal_system": "cubic"
}


{
  "formula": "PrGdTm2",
  "functional": "PBE",
  "state": "optimized geometry",
  "lattice": [[-2.8481, 0.4875, -2.1049], [-0.9843, -2.5571, -2.2962], [-8.0677, -5.3562, 6.6402]],
  "species": ["Gd", "Pr", "Tm", "Tm"],
  "frac_coords": [[0.5000, 0.5000, 0.5000], [0.0000, 0.0000, 0.0000], [0.7508, 0.7508, 0.7477], [0.2492, 0.2492, 0.2523]],
  "polymorph_energy_ev_per_atom": 0.0061,
  "total_energy_ev_per_atom": -6.9240,
  "delta_e_f_ev_per_atom": 0.027,
  "crystal_system": "trigonal"
}


{
  "formula": "PrGdTm",
  "functional": "PBE",
  "state": "optimized geometry",
  "lattice": [[-3.5820, -0.2716, 0.3197], [2.1188, -2.7022, 1.1023], [0.4395, 3.6009, 7.9822]],
  "species": ["Gd", "Pr", "Tm"],
  "frac_coords": [[0.3333, 0.6667, 0.6609], [0.0000, 0.0000, 0.0038], [0.6667, 0.3333, 0.3353]],
  "polymorph_energy_ev_per_atom": 0.0000,
  "total_energy_ev_per_atom": -7.7539,
  "delta_e_f_ev_per_atom": 0.023,
  "crystal_system": "trigonal"
}


{
  "formula": "PrGdTm2",
  "functional": "PBE",
  "state": "optimized geometry",
  "lattice": [[3.5917, 0.0000, 0.0000], [0.0000, 3.5917, 0.0000], [0.0000, 0.0000, 9.9663]],
  "species": ["Gd", "Pr", "Tm", "Tm"],
  "frac_coords": [[0.5000, 0.5000, 0.0000], [0.5000, 0.5000, 0.5000], [0.0000, 0.0000, 0.7537], [0.0000, 0.0000, 0.2463]],
  "polymorph_energy_ev_per_atom": 0.0121,
  "total_energy_ev_per_atom": -6.9181,
  "delta_e_f_ev_per_atom": 0.033,
  "crystal_system": "tetragonal"
}


{
  "formula": "PrGdTm",
  "functional": "PBE",
  "state": "optimized geometry",
  "lattice": [[4.1693, 0.0000, 0.0000], [0.0000, 4.1693, 0.0000], [-2.0847, -2.0847, 5.7427]],
  "species": ["Pr", "Gd", "Tm"],
  "frac_coords": [[0.6200, 0.6200, 0.2400], [0.9421, 0.9421, 0.8842], [0.2879, 0.2879, 0.5758]],
  "polymorph_energy_ev_per_atom": 0.0705,
  "total_energy_ev_per_atom": -7.6834,
  "delta_e_f_ev_per_atom": 0.094,
  "crystal_system": "tetragonal"
}


{
  "formula": "PrGdTm2",
  "functional": "PBE",
  "state": "optimized geometry",
  "lattice": [[-5.2764, -0.3005, -2.0905], [-0.8225, -1.3833, -5.4507], [-2.2410, -5.0470, -1.3439]],
  "species": ["Gd", "Pr", "Tm", "Tm"],
  "frac_coords": [[0.0000, 0.0000, 0.0000], [0.5000, 0.5000, 0.5000], [0.2500, 0.2500, 0.2500], [0.7500, 0.7500, 0.7500]],
  "polymorph_energy_ev_per_atom": 0.0718,
  "total_energy_ev_per_atom": -6.8584,
  "delta_e_f_ev_per_atom": 0.092,
  "crystal_system": "cubic"
}


{
  "formula": "PrGdTm2",
  "functional": "PBE",
  "state": "optimized geometry",
  "lattice": [[4.9886, 0.0000, 0.0000], [0.0000, 5.0694, 0.0000], [0.0000, 0.0000, 5.0694]],
  "species": ["Gd", "Pr", "Tm", "Tm"],
  "frac_coords": [[0.5000, 0.5000, 0.5000], [0.5000, 0.0000, 0.0000], [0.0000, 0.0000, 0.5000], [0.0000, 0.5000, 0.0000]],
  "polymorph_energy_ev_per_atom": 0.0000,
  "total_energy_ev_per_atom": -6.9302,
  "delta_e_f_ev_per_atom": 0.021,
  "crystal_system": "tetragonal"
}


{
  "formula": "PrGdTmZr",
  "functional": "PBE",
  "state": "optimized geometry",
  "lattice": [[5.5272, 0.0000, 0.0000], [2.7636, 4.7867, 0.0000], [2.7636, 1.5956, 4.5129]],
  "species": ["Gd", "Pr", "Tm", "Zr"],
  "frac_coords": [[0.2500, 0.2500, 0.2500], [0.7500, 0.7500, 0.7500], [0.0000, 0.0000, 0.0000], [0.5000, 0.5000, 0.5000]],
  "total_energy_ev_per_atom": -7.7735,
  "delta_e_f_ev_per_atom": 0.196,
  "crystal_system": "cubic"
}


{
  "formula": "Pr2GdV",
  "functional": "PBE",
  "state": "optimized geometry",
  "lattice": [[3.4679, 0.0000, 0.0000], [1.7339, 3.0033, 0.0000], [1.7339, 1.0011, 11.7503]],
  "species": ["Pr", "Pr", "Gd", "V"],
  "frac_coords": [[0.0810, 0.0810, 0.7571], [0.9190, 0.9190, 0.2429], [0.5000, 0.5000, 0.5000], [0.0000, 0.0000, 0.0000]],
  "total_energy_ev_per_atom": -7.5444,
  "delta_e_f_ev_per_atom": 0.645,
  "crystal_system": "trigonal"
}


{
  "formula": "Pr2GdY",
  "functional": "PBE",
  "state": "optimized geometry",
  "lattice": [[-4.8871, 1.5101, -2.7343], [-4.8431, -3.0901, 0.7979], [-4.4210, 2.2598, 2.9983]],
  "species": ["Pr", "Pr", "Y", "Gd"],
  "frac_coords": [[0.2500, 0.2500, 0.2500], [0.7500, 0.7500, 0.7500], [0.0000, 0.0000, 0.0000], [0.5000, 0.5000, 0.5000]],
  "polymorph_energy_ev_per_atom": 0.0873,
  "total_energy_ev_per_atom": -7.4276,
  "delta_e_f_ev_per_atom": 0.098,
  "crystal_system": "cubic"
}


{
  "formula": "Pr2GdY",
  "functional": "PBE",
  "state": "optimized geometry",
  "lattice": [[5.1084, 0.0000, 0.0000], [0.0000, 5.1784, 0.0000], [0.0000, 0.0000, 5.1784]],
  "species": ["Pr", "Pr", "Y", "Gd"],
  "frac_coords": [[0.0000, 0.0000, 0.5000], [0.0000, 0.5000, 0.0000], [0.5000, 0.5000, 0.5000], [0.5000, 0.0000, 0.0000]],
  "polymorph_energy_ev_per_atom": 0.0000,
  "total_energy_ev_per_atom": -7.5149,
  "delta_e_f_ev_per_atom": 0.011,
  "crystal_system": "tetragonal"
}


{
  "formula": "PrGdY",
  "functional": "PBE",
  "state": "optimized geometry",
  "lattice": [[-3.5646, 0.2322, -0.6830], [2.1447, -1.9690, -2.1795], [-1.4282, -7.1253, 5.0315]],
  "species": ["Pr", "Y", "Gd"],
  "frac_coords": [[0.3333, 0.6667, 0.6657], [0.6667, 0.3333, 0.3314], [0.0000, 0.0000, 0.0030]],
  "polymorph_energy_ev_per_atom": 0.0000,
  "total_energy_ev_per_atom": -8.4252,
  "delta_e_f_ev_per_atom": 0.016,
  "crystal_system": "trigonal"
}


{
  "formula": "PrGdY",
  "functional": "PBE",
  "state": "optimized geometry",
  "lattice": [[3.6474, 0.0000, 0.0000], [0.0000, 3.6474, 0.0000], [-1.8237, -1.8237, 7.6136]],
  "species": ["Pr", "Y", "Gd"],
  "frac_coords": [[0.6662, 0.6662, 0.3325], [0.9996, 0.9996, 0.9992], [0.3342, 0.3342, 0.6684]],
  "polymorph_energy_ev_per_atom": 0.0029,
  "total_energy_ev_per_atom": -8.4223,
  "delta_e_f_ev_per_atom": 0.019,
  "crystal_system": "tetragonal"
}


{
  "formula": "PrGdYZn",
  "functional": "PBE",
  "state": "optimized geometry",
  "lattice": [[-0.9970, -3.3923, -4.1123], [4.1137, -2.4064, -2.5884], [0.8450, -5.3224, 0.6094]],
  "species": ["Pr", "Y", "Zn", "Gd"],
  "frac_coords": [[0.2500, 0.2500, 0.2500], [0.7500, 0.7500, 0.7500], [0.0000, 0.0000, 0.0000], [0.5000, 0.5000, 0.5000]],
  "total_energy_ev_per_atom": -6.6104,
  "delta_e_f_ev_per_atom": 0.039,
  "crystal_system": "cubic"
}


{
  "formula": "PrGdYZr",
  "functional": "PBE",
  "state": "optimized geometry",
  "lattice": [[5.5597, 0.0000, 0.0000], [2.7799, 4.8149, 0.0000], [2.7799, 1.6050, 4.5395]],
  "species": ["Pr", "Y", "Gd", "Zr"],
  "frac_coords": [[0.5000, 0.5000, 0.5000], [0.7500, 0.7500, 0.7500], [0.0000, 0.0000, 0.0000], [0.2500, 0.2500, 0.2500]],
  "total_energy_ev_per_atom": -8.2629,
  "delta_e_f_ev_per_atom": 0.205,
  "crystal_system": "cubic"
}


{
  "formula": "Pr2GdZn",
  "functional": "PBE",
  "state": "optimized geometry",
  "lattice": [[-1.6636, 0.6262, -3.2571], [-3.0655, -1.6815, 1.2424], [-2.9861, 7.6586, 2.9977]],
  "species": ["Pr", "Pr", "Zn", "Gd"],
  "frac_coords": [[0.0000, 0.0000, 0.7897], [0.0000, 0.0000, 0.2103], [0.5000, 0.5000, 0.0000], [0.5000, 0.5000, 0.5000]],
  "polymorph_energy_ev_per_atom": 0.0000,
  "total_energy_ev_per_atom": -6.3658,
  "delta_e_f_ev_per_atom": -0.137,
  "crystal_system": "tetragonal"
}


{
  "formula": "Pr2GdZn",
  "functional": "PBE",
  "state": "optimized geometry",
  "lattice": [[5.4889, 0.0000, 0.0000], [2.7444, 4.7535, 0.0000], [2.7444, 1.5845, 4.4817]],
  "species": ["Pr", "Pr", "Zn", "Gd"],
  "frac_coords": [[0.2500, 0.2500, 0.2500], [0.7500, 0.7500, 0.7500], [0.5000, 0.5000, 0.5000], [0.0000, 0.0000, 0.0000]],
  "polymorph_energy_ev_per_atom": 0.1595,
  "total_energy_ev_per_atom": -6.2063,
  "delta_e_f_ev_per_atom": 0.022,
  "crystal_system": "cubic"
}


{
  "formula": "PrGdZn",
  "functional": "PBE",
  "state": "optimized geometry",
  "lattice": [[-2.1532, 2.1587, -2.2174], [1.4040, -2.7280, -4.0191], [-4.0846, -1.3391, 2.6626]],
  "species": ["Pr", "Zn", "Gd"],
  "frac_coords": [[0.6278, 0.6667, 0.3333], [0.3011, 0.3333, 0.6667], [0.0711, 0.0000, 0.0000]],
  "polymorph_energy_ev_per_atom": 0.1574,
  "total_energy_ev_per_atom": -6.7644,
  "delta_e_f_ev_per_atom": -0.053,
  "crystal_system": "trigonal"
}


{
  "formula": "PrGdZn2",
  "functional": "PBE",
  "state": "optimized geometry",
  "lattice": [[-1.7636, 1.1048, -4.7439], [-4.8453, -1.2688, -1.3226], [-3.5644, 3.7041, -0.6407]],
  "species": ["Pr", "Zn", "Zn", "Gd"],
  "frac_coords": [[0.5000, 0.5000, 0.5000], [0.2500, 0.2500, 0.2500], [0.7500, 0.7500, 0.7500], [0.0000, 0.0000, 0.0000]],
  "polymorph_energy_ev_per_atom": 0.0000,
  "total_energy_ev_per_atom": -5.6758,
  "delta_e_f_ev_per_atom": -0.324,
  "crystal_system": "cubic"
}


{
  "formula": "Pr2GdZn",
  "functional": "PBE",
  "state": "optimized geometry",
  "lattice": [[-0.9875, -3.5333, 0.2831], [2.5608, -2.5896, 0.5249], [-0.4933, -0.9128, 10.8008]],
  "species": ["Pr", "Pr", "Zn", "Gd"],
  "frac_coords": [[0.2603, 0.2603, 0.2192], [0.7397, 0.7397, 0.7808], [0.0000, 0.0000, 0.0000], [0.5000, 0.5000, 0.5000]],
  "polymorph_energy_ev_per_atom": 0.1157,
  "total_energy_ev_per_atom": -6.2501,
  "delta_e_f_ev_per_atom": -0.022,
  "crystal_system": "trigonal"
}


Result set for D(E_F): 5.8; 3.8; 5.8; 5.4; 4.8; 5.8; 6.4; 4.1; 3.9; 5.1; 5.8; 3.8; 5.4; 4.5; 7.1; 5.4; 6.9; 6.3; 6.5; 6.5; 8.2; 6.4; 4.7; 5.0; 6.6; 6.8; 4.9; 5.8; 3.7; 3.2; 5.1 states/eV/cell, one per record in the order listed.